## i
Compound: Sn2Bi2As
Source: Alexandria
Functional: PBE
Structure: relaxed

Cell: 8.237 8.237 4.465 Å, 90.00 90.00 90.00°
Positions (direct):
Bi1 0.329 0.829 0.000
Sn1 0.135 0.635 0.500
Sn2 0.635 0.865 0.500
Sn3 0.365 0.135 0.500
As1 0.500 0.500 0.000
Sn4 0.865 0.365 0.500
As2 0.000 0.000 0.000
Bi2 0.671 0.171 0.000
Bi3 0.171 0.329 0.000
Bi4 0.829 0.671 0.000

Summary:
DOS(E_F) = 2.99 states/eV/f.u.
space-group type = No. 127

***

## ii
Compound: Sn2Bi2As
Source: Alexandria
Functional: PBE
Structure: relaxed

Cell: 7.426 7.426 5.327 Å, 90.00 90.00 90.00°
Positions (direct):
Bi1 0.152 0.652 0.500
Bi2 0.348 0.152 0.500
Bi3 0.652 0.848 0.500
As1 0.500 0.500 0.000
Sn1 0.147 0.353 0.000
As2 0.000 0.000 0.000
Sn2 0.853 0.647 0.000
Sn3 0.353 0.853 0.000
Sn4 0.647 0.147 0.000
Bi4 0.848 0.348 0.500

Summary:
DOS(E_F) = 2.62 states/eV/f.u.
space-group type = No. 127

***

Last place for stability: ii